Material: GdSiPd
Method: DFT, SCAN
State: single point on PBEsol structure

Output
Crystal system: monoclinic
Raw formation energy (eV/atom): -0.926

Cell lengths 10.176, 4.252, 6.978 Å; angles 90.00, 132.19, 90.00 degrees
Space group C2/m (No. 12)
Unique sites:
Gd (0.050, 0.000, 0.312) (multiplicity 4)
Si (0.154, 0.500, 0.098) (multiplicity 4)
Pd (0.182, 0.500, 0.745) (multiplicity 4)

Material: GdSnPd
Method: DFT, SCAN
State: single point on PBEsol structure

Output
Crystal system: orthorhombic
Energy of formation from the pure elements (eV/atom): -0.986

Cell lengths 7.176, 4.601, 7.878 Å; angles 90.00, 90.00, 90.00 degrees
Space group Pnma (No. 62)
Unique sites:
Gd (0.011, 0.250, 0.203) (multiplicity 4)
Sn (0.189, 0.250, 0.586) (multiplicity 4)
Pd (0.207, 0.750, 0.415) (multiplicity 4)

Material: GdTlPd
Method: DFT, SCAN
State: single point on PBEsol structure

Output
Crystal system: hexagonal
Energy of formation from the pure elements (eV/atom): -0.738

Cell lengths 7.7020, 7.7020, 3.8210 Å; angles 90.00, 90.00, 120.00 degrees
Space group P-62m (No. 189)
Unique sites:
Gd (0.0000, 0.5957, 0.0000) (multiplicity 3)
Tl (0.0000, 0.2646, 0.5000) (multiplicity 3)
Pd (0.0000, 0.0000, 0.0000) (multiplicity 1)
Pd (0.3333, 0.6667, 0.5000) (multiplicity 2)